# 1
Y2TmSc12 | Alexandria via LeMat-Bulk | PBE | relaxed; ΔE_f = 0.35 eV per atom; raw total energy = -176.39 eV/cell; Fermi-level density of states = 53.7 states/eV/cell
1.0
-4.636 -3.771 -0.020
2.481 -3.075 4.484
-11.083 13.542 15.417
Y Tm Sc
4 2 24
Direct
0.500 0.000 0.281 Y
0.000 0.500 0.281 Y
0.000 0.500 0.719 Y
0.500 0.000 0.719 Y
0.500 0.000 0.000 Tm
0.000 0.500 0.000 Tm
0.500 0.500 0.782 Sc
0.000 0.000 0.782 Sc
0.751 0.749 0.883 Sc
0.251 0.751 0.883 Sc
0.000 0.000 0.344 Sc
0.249 0.749 0.117 Sc
0.832 0.332 0.560 Sc
0.500 0.500 0.344 Sc
0.249 0.251 0.883 Sc
0.749 0.751 0.117 Sc
0.332 0.168 0.560 Sc
0.668 0.168 0.440 Sc
0.000 0.000 0.656 Sc
0.168 0.332 0.440 Sc
0.251 0.249 0.117 Sc
0.832 0.668 0.440 Sc
0.668 0.832 0.560 Sc
0.000 0.000 0.218 Sc
0.168 0.668 0.560 Sc
0.500 0.500 0.656 Sc
0.749 0.249 0.883 Sc
0.500 0.500 0.218 Sc
0.332 0.832 0.440 Sc
0.751 0.251 0.117 Sc

# 2
Tm2NbAl | Alexandria via LeMat-Bulk | PBE | relaxed; ΔE_f = 0.40 eV per atom; raw total energy = -21.17 eV/cell; offset from the most stable computed form = 1.76 eV per formula unit; Fermi-level density of states = 6.0 states/eV/cell
1.0
3.168 0.000 0.000
1.584 2.744 0.000
1.584 0.915 10.878
Nb Tm Al
1 2 1
Direct
0.000 0.000 0.000 Nb
0.091 0.091 0.726 Tm
0.909 0.909 0.274 Tm
0.500 0.500 0.500 Al

# 3
PbBr | Alexandria via LeMat-Bulk | PBE | relaxed; formation energy from raw total energies = -0.466 eV/atom; raw total energy = -37.88 eV/cell; Fermi-level density of states = 3.6 states/eV/cell
1.0
-1.632 3.317 -0.112
-1.197 -0.417 5.085
18.016 9.032 4.982
Pb Br
6 6
Direct
0.000 0.507 0.820 Pb
0.500 0.493 0.680 Pb
0.500 0.493 0.320 Pb
0.000 0.507 0.180 Pb
0.000 0.003 0.500 Pb
0.500 0.997 0.000 Pb
0.000 0.990 0.650 Br
0.500 0.010 0.850 Br
0.500 0.010 0.150 Br
0.000 0.990 0.350 Br
0.000 0.492 0.000 Br
0.500 0.508 0.500 Br